CuTePdO6 | PBE-GGA | relaxed

```
CuTePdO6
1.0
5.1567 0.0000 0.0000
-2.5784 4.4658 0.0000
0.0000 0.0000 8.9862
Cu Te Pd O
2 2 2 12
Direct
0.0000 0.0000 0.0000 Cu
0.0000 0.0000 0.5000 Cu
0.3333 0.6667 0.2500 Te
0.6667 0.3333 0.7500 Te
0.3333 0.6667 0.7500 Pd
0.6667 0.3333 0.2500 Pd
0.0080 0.3534 0.1292 O
0.0080 0.6546 0.3708 O
0.3454 0.3534 0.3708 O
0.3454 0.9920 0.1292 O
0.3534 0.0080 0.6292 O
0.3534 0.3454 0.8708 O
0.6466 0.6546 0.1292 O
0.6466 0.9920 0.3708 O
0.6546 0.0080 0.8708 O
0.6546 0.6466 0.6292 O
0.9920 0.3454 0.6292 O
0.9920 0.6466 0.8708 O
```

Computed properties:
Its formation energy without anion corrections is -5.3 eV per formula unit. Its space-group type is P-31c.

***

Pu3SnPd3 | PBE-GGA | relaxed

```
Pu3SnPd3
1.0
8.5598 0.0000 0.0000
0.0000 8.5598 0.0000
0.0000 0.0000 8.5598
Pu Sn Pd
12 4 12
Direct
0.0472 0.4528 0.5472 Pu
0.1580 0.1580 0.1580 Pu
0.2196 0.7804 0.2804 Pu
0.2804 0.2196 0.7804 Pu
0.3420 0.8420 0.6580 Pu
0.4528 0.5472 0.0472 Pu
0.5472 0.0472 0.4528 Pu
0.6580 0.3420 0.8420 Pu
0.7196 0.7196 0.7196 Pu
0.7804 0.2804 0.2196 Pu
0.8420 0.6580 0.3420 Pu
0.9528 0.9528 0.9528 Pu
0.1243 0.6243 0.8757 Sn
0.3757 0.3757 0.3757 Sn
0.6243 0.8757 0.1243 Sn
0.8757 0.1243 0.6243 Sn
0.0186 0.8217 0.5980 Pd
0.0980 0.4814 0.1783 Pd
0.1783 0.0980 0.4814 Pd
0.3217 0.9020 0.9814 Pd
0.4020 0.5186 0.6783 Pd
0.4814 0.1783 0.0980 Pd
0.5186 0.6783 0.4020 Pd
0.5980 0.0186 0.8217 Pd
0.6783 0.4020 0.5186 Pd
0.8217 0.5980 0.0186 Pd
0.9020 0.9814 0.3217 Pd
0.9814 0.3217 0.9020 Pd
```

Computed properties:
Its space-group type is P2_13. The energy relative to the elements comes out at -0.3684 eV/atom. The offset from the most stable computed form is 0 meV per atom.

***

Rb8Br3ClO2 | PBE-GGA | relaxed

```
Rb8Br3ClO2
1.0
8.2948 0.0000 0.0000
-4.1474 7.1835 0.0000
0.0000 0.0000 10.1607
Rb Br Cl O
8 3 1 2
Direct
0.1753 0.3505 0.2987 Rb
0.1753 0.8247 0.2987 Rb
0.3333 0.6667 0.9358 Rb
0.3505 0.1753 0.7013 Rb
0.6495 0.8247 0.2987 Rb
0.6667 0.3333 0.0642 Rb
0.8247 0.1753 0.7013 Rb
0.8247 0.6495 0.7013 Rb
0.0000 0.0000 0.0000 Br
0.3333 0.6667 0.5983 Br
0.6667 0.3333 0.4017 Br
0.0000 0.0000 0.5000 Cl
0.3333 0.6667 0.1796 O
0.6667 0.3333 0.8204 O
```

Computed properties:
Its formation energy without anion corrections is -18.9 eV per formula unit. Its space-group type is P-3m1.

***

YTa3Fe | PBE-GGA | relaxed

```
YTa3Fe
1.0
4.6994 0.0000 0.0000
0.0000 4.6994 0.0000
0.0000 0.0000 4.6994
Y Ta Fe
1 3 1
Direct
0.0000 0.0000 0.0000 Y
0.0000 0.5000 0.5000 Ta
0.5000 0.0000 0.5000 Ta
0.5000 0.5000 0.0000 Ta
0.5000 0.5000 0.5000 Fe
```

Computed properties:
Its space-group type is Pm-3m. The energy relative to the elements comes out at 0.5255 eV/atom.

***

SmY2HoSe4 | PBE-GGA | relaxed

```
SmY2HoSe4
1.0
7.0949 0.0000 0.0000
0.0000 4.0564 0.0000
-2.3248 0.0000 6.7787
Sm Y Ho Se
1 2 1 4
Direct
0.0000 0.0000 0.0000 Sm
0.5000 0.0000 0.5000 Y
0.5000 0.5000 0.0000 Y
0.0000 0.5000 0.5000 Ho
0.2503 0.0000 0.7451 Se
0.2543 0.5000 0.2565 Se
0.7457 0.5000 0.7435 Se
0.7497 0.0000 0.2549 Se
```

Computed properties:
Its formation energy without anion corrections is -14.1 eV per formula unit. Its space-group type is P2/m.

***

Rb3PuSe3 | PBE-GGA | relaxed

```
Rb3PuSe3
1.0
4.7885 -7.3633 0.0000
4.7885 7.3633 0.0000
-1.3598 0.0000 8.4498
Rb Pu Se
6 2 6
Direct
0.1793 0.8207 0.0000 Rb
0.2452 0.7548 0.5000 Rb
0.3806 0.3806 0.1341 Rb
0.6194 0.6194 0.8659 Rb
0.7548 0.2452 0.5000 Rb
0.8207 0.1793 0.0000 Rb
0.1862 0.1862 0.6373 Pu
0.8138 0.8138 0.3627 Pu
0.0931 0.0931 0.3047 Se
0.1651 0.4673 0.7768 Se
0.4673 0.1651 0.7768 Se
0.5327 0.8349 0.2232 Se
0.8349 0.5327 0.2232 Se
0.9069 0.9069 0.6953 Se
```

Computed properties:
Its formation energy without anion corrections is -8.3 eV per formula unit. Its space-group type is C2/m.

***

Tl4TeSe | PBE-GGA | relaxed

```
Tl4TeSe
1.0
7.0595 0.0000 0.0000
0.0164 8.2784 0.0000
3.5152 1.1527 7.6327
Tl Te Se
8 2 2
Direct
0.0487 0.1108 0.1502 Tl
0.2614 0.5522 0.6183 Tl
0.3008 0.6106 0.1505 Tl
0.3804 0.9460 0.3819 Tl
0.6196 0.0540 0.6181 Tl
0.6992 0.3894 0.8495 Tl
0.7386 0.4478 0.3817 Tl
0.9513 0.8892 0.8498 Tl
0.0849 0.2495 0.5004 Te
0.9151 0.7505 0.4996 Te
0.0000 0.5000 0.0000 Se
0.5000 0.0000 0.0000 Se
```

Computed properties:
Its formation energy without anion corrections is -1.7 eV per formula unit. Its space-group type is P-1. The offset from the most stable computed form is 23 meV per atom.

***

Ba2AgAu2 | PBE-GGA | relaxed

```
Ba2AgAu2
1.0
-2.0573 2.0573 9.4107
2.0573 -2.0573 9.4107
2.0573 2.0573 -9.4107
Ba Ag Au
2 1 2
Direct
0.1098 0.1098 0.0000 Ba
0.8902 0.8902 0.0000 Ba
0.5000 0.5000 0.0000 Ag
0.2500 0.7500 0.5000 Au
0.7500 0.2500 0.5000 Au
```

Computed properties:
Its space-group type is I4/mmm. The energy relative to the elements comes out at -0.3555 eV/atom. The offset from the most stable computed form is 238 meV per atom.

***

Let's list E_tot in order: -5.28; -9.31; -3.10; -9.57; -6.28; -5.14; -2.97; -3.01 eV per atom.